First-principles (PBE) data for a relaxed Sm3Cd3Hg crystal, as listed in Alexandria.

a = 3.546 Å, b = 4.981 Å, c = 21.238 Å
α = 90.00°, β = 90.00°, γ = 90.00°
Space group Imm2 (No. 44)
One atom of each set of equivalent atoms:
Sm 0.000 0.000 0.000 [2 per cell]
Sm 0.000 0.000 0.397 [2 per cell]
Sm 0.000 0.500 0.202 [2 per cell]
Cd 0.000 0.000 0.557 [2 per cell]
Cd 0.000 0.000 0.843 [2 per cell]
Cd 0.000 0.500 0.631 [2 per cell]
Hg 0.000 0.500 0.766 [2 per cell]

Uncorrected energy in eV/cell: -38.83
Formation enthalpy at 0 K in eV per atom: -0.32
V in Å³/atom: 26.792